Computed, not measured: BaYIN2 after structural relaxation at the PBE level of DFT.

```
data_BaYIN2
_cell_length_a 4.6638
_cell_length_b 4.6638
_cell_length_c 5.9623
_cell_angle_alpha 90.00
_cell_angle_beta 90.00
_cell_angle_gamma 90.00
_symmetry_space_group_name_H-M 'P 4/m m m'
_symmetry_Int_Tables_number 123
_symmetry_space_group_name_Hall '-P 4 2'
loop_
_atom_site_label
_atom_site_type_symbol
_atom_site_fract_x
_atom_site_fract_y
_atom_site_fract_z
Ba1 Ba 0.0000 0.0000 0.0000
Y1 Y 0.5000 0.5000 0.5000
I1 I 0.5000 0.5000 0.0000
N1 N 0.0000 0.5000 0.5000
```

Calculated values
Crystal system = tetragonal
Final energy = -27.53 eV per formula unit